w:
The following is a DFT calculation (GGA-PBE) of a relaxed CrRhCl crystal.

POSCAR file:
```
CrRhCl
1.0
-2.109 0.851 -2.075
1.162 -2.850 -0.066
-4.405 -1.881 3.707
Cr Rh Cl
1 1 1
Cartesian
-2.469 -1.002 -0.185
-2.652 -2.780 1.556
-0.232 -0.099 0.195
```

Properties
M_tot: 3.2 μB per formula unit

=====

x:
The following is a DFT calculation (GGA-PBE) of a relaxed CrRhCl crystal.

POSCAR file:
```
CrRhCl
1.0
-2.189 -3.466 0.314
1.519 -3.210 2.072
-1.639 -1.076 3.614
Cl Rh Cr
1 1 1
Cartesian
-1.155 -3.876 3.000
0.000 0.000 0.000
-1.732 -5.814 4.501
```

Properties
M_tot: 1.9 μB per formula unit

=====

Which one sits at the bottom of the stability order? x does.